Pr2SmRh after structural relaxation. Source: Alexandria, functional GGA-PBE.

Calculated values
Its distance to the lowest polymorph of the same formula is 0.335 eV per formula unit. The total energy is -91.842 eV/cell. The symmetry is Pnna. The formation energy is -333 meV/atom. The value obtained for the magnetization is 0.000 μB per formula unit.

a b c (Å): 6.537 6.812 11.652
angles (deg): 89.99 90.00 90.00
Element x y z (fractional)
Pr: 0.757 0.911 0.915
Pr: 0.243 0.089 0.085
Pr: 0.257 0.589 0.585
Pr: 0.743 0.411 0.415
Pr: 0.757 0.411 0.085
Pr: 0.243 0.589 0.915
Pr: 0.257 0.089 0.415
Pr: 0.743 0.911 0.585
Sm: 0.250 0.569 0.250
Sm: 0.750 0.431 0.750
Sm: 0.750 0.931 0.250
Sm: 0.250 0.069 0.750
Rh: 0.000 0.250 0.589
Rh: 0.000 0.750 0.411
Rh: 0.500 0.250 0.911
Rh: 0.500 0.750 0.089

---

NiS after structural relaxation. Source: Alexandria, functional GGA-PBE.

Calculated values
The total energy is -84.154 eV/cell. The symmetry is I4/m. The value obtained for the magnetization is 0.000 μB per formula unit.

a b c (Å): 9.049 9.049 3.557
angles (deg): 90.00 90.00 90.00
Element x y z (fractional)
Ni: 0.341 0.206 0.000
Ni: 0.659 0.794 0.000
Ni: 0.794 0.341 0.000
Ni: 0.206 0.659 0.000
Ni: 0.841 0.706 0.500
Ni: 0.159 0.294 0.500
Ni: 0.294 0.841 0.500
Ni: 0.706 0.159 0.500
S: 0.420 0.775 0.000
S: 0.580 0.225 0.000
S: 0.225 0.420 0.000
S: 0.775 0.580 0.000
S: 0.920 0.275 0.500
S: 0.080 0.725 0.500
S: 0.725 0.920 0.500
S: 0.275 0.080 0.500

---

Tb6SbTe3As2 after structural relaxation. Source: Alexandria, functional GGA-PBE.

Calculated values
The total energy is -67.749 eV/cell. The symmetry is C2/m. The value obtained for the magnetization is 0.000 μB per formula unit.

a b c (Å): 4.271 8.678 9.682
angles (deg): 103.94 102.74 90.00
Element x y z (fractional)
Tb: 0.332 0.889 0.664
Tb: 0.675 0.568 0.350
Tb: 0.668 0.111 0.336
Tb: 0.011 0.251 0.023
Tb: 0.989 0.749 0.977
Tb: 0.325 0.432 0.650
Sb: 0.500 0.000 0.000
Te: 0.500 0.500 0.000
Te: 0.837 0.167 0.674
Te: 0.163 0.833 0.326
As: 0.832 0.664 0.664
As: 0.168 0.336 0.336

---

ZnHgPt after structural relaxation. Source: Alexandria, functional GGA-PBE.

Calculated values
Its distance to the lowest polymorph of the same formula is 0.000 eV per formula unit. The total energy is -8.070 eV/cell. The symmetry is Imm2. The formation energy is -151 meV/atom. The value obtained for the magnetization is 0.000 μB per formula unit.

a b c (Å): 5.370 5.370 5.370
angles (deg): 148.50 139.19 52.44
Element x y z (fractional)
Hg: 0.000 0.000 0.000
Pt: 0.307 0.307 0.000
Zn: 0.693 0.693 0.000

---

K2LiFe after structural relaxation. Source: Alexandria, functional GGA-PBE.

Calculated values
Its distance to the lowest polymorph of the same formula is 0.314 eV per formula unit. The total energy is -9.594 eV/cell. The symmetry is Cm. The formation energy is 744 meV/atom. The value obtained for the magnetization is 2.806 μB per formula unit.

a b c (Å): 6.908 6.908 6.484
angles (deg): 73.08 73.08 27.93
Each line ends with the local moment (μB).
Element x y z (fractional)
Fe: 0.206 0.206 0.235  3.02
K: 0.965 0.965 0.076  -0.01
K: 0.768 0.768 0.702  -0.01
Li: 0.561 0.561 0.487  -0.03

---

RhPb3 after structural relaxation. Source: Alexandria, functional GGA-PBE.

Calculated values
The total energy is -17.433 eV/cell. The symmetry is Pm-3m. The formation energy is 261 meV/atom. The value obtained for the magnetization is 0.000 μB per formula unit.

a b c (Å): 4.653 4.653 4.653
angles (deg): 90.00 90.00 90.00
Element x y z (fractional)
Rh: 0.000 0.000 0.000
Pb: 0.000 0.500 0.500
Pb: 0.500 0.000 0.500
Pb: 0.500 0.500 0.000

---

Ac4Cd2Ag after structural relaxation. Source: Alexandria, functional GGA-PBE.

Calculated values
The total energy is -22.135 eV/cell. The symmetry is I4/mmm. The formation energy is -146 meV/atom. The value obtained for the magnetization is 0.009 μB per formula unit.

a b c (Å): 6.940 6.940 6.940
angles (deg): 109.39 109.51 109.51
Element x y z (fractional)
Ac: 0.500 0.000 0.000
Ac: 0.500 0.500 0.500
Ac: 0.000 0.000 0.500
Ac: 0.000 0.500 0.000
Ag: 0.000 0.000 0.000
Cd: 0.500 0.500 0.000
Cd: 0.500 0.000 0.500

---

BaSn4Pd2Rh after structural relaxation. Source: Alexandria, functional GGA-PBE.

Calculated values
The total energy is -39.736 eV/cell. The symmetry is R-3m. The formation energy is -508 meV/atom. The value obtained for the magnetization is 0.000 μB per formula unit.

a b c (Å): 4.605 4.605 10.650
angles (deg): 77.51 77.51 60.00
Element x y z (fractional)
Ba: 0.000 0.000 0.000
Sn: 0.407 0.407 0.778
Sn: 0.866 0.866 0.401
Sn: 0.134 0.134 0.599
Sn: 0.593 0.593 0.222
Pd: 0.771 0.771 0.688
Pd: 0.229 0.229 0.312
Rh: 0.500 0.500 0.500

---

SrCaRe2 after structural relaxation. Source: Alexandria, functional GGA-PBE.

Calculated values
Its distance to the lowest polymorph of the same formula is 3.525 eV per formula unit. The total energy is -23.758 eV/cell. The symmetry is R-3m. The formation energy is 1206 meV/atom. The value obtained for the magnetization is 0.000 μB per formula unit.

a b c (Å): 10.802 10.802 10.802
angles (deg): 15.73 15.73 15.73
Element x y z (fractional)
Re: 0.003 0.003 0.003
Re: 0.497 0.497 0.497
Ca: 0.750 0.750 0.750
Sr: 0.250 0.250 0.250

---

Sm4BiB3Rh12 after structural relaxation. Source: Alexandria, functional GGA-PBE.

Calculated values
The total energy is -140.830 eV/cell. The symmetry is Im-3m. The formation energy is -491 meV/atom. The value obtained for the magnetization is 0.000 μB per formula unit.

a b c (Å): 7.646 7.646 7.646
angles (deg): 109.47 109.47 109.47
Element x y z (fractional)
Sm: 0.500 0.500 0.500
Sm: 0.000 0.000 0.500
Sm: 0.500 0.000 0.000
Sm: 0.000 0.500 0.000
Bi: 0.000 0.000 0.000
B: 0.500 0.000 0.500
B: 0.500 0.500 0.000
B: 0.000 0.500 0.500
Rh: 0.250 0.500 0.750
Rh: 0.718 0.000 0.718
Rh: 0.282 0.000 0.282
Rh: 0.750 0.500 0.250
Rh: 0.718 0.718 0.000
Rh: 0.282 0.282 0.000
Rh: 0.750 0.250 0.500
Rh: 0.250 0.750 0.500
Rh: 0.500 0.250 0.750
Rh: 0.000 0.718 0.718
Rh: 0.500 0.750 0.250
Rh: 0.000 0.282 0.282

---

NbTlAgF6 after structural relaxation. Source: Alexandria, functional GGA-PBE.

Calculated values
The total energy is -94.007 eV/cell. The symmetry is P-31c. The value obtained for the magnetization is 1.003 μB per formula unit.

a b c (Å): 6.378 6.378 10.118
angles (deg): 90.00 90.00 120.00
Each line ends with the local moment (μB).
Element x y z (fractional)
Nb: 0.667 0.333 0.250  0.83
Nb: 0.333 0.667 0.750  0.83
Tl: 0.000 0.000 0.000  0.00
Tl: 0.000 0.000 0.500  0.00
Ag: 0.333 0.667 0.250  0.02
Ag: 0.667 0.333 0.750  0.02
F: 0.654 0.597 0.146  0.01
F: 0.943 0.346 0.146  0.01
F: 0.346 0.943 0.646  0.01
F: 0.057 0.654 0.854  0.01
F: 0.403 0.346 0.354  0.01
F: 0.943 0.597 0.354  0.01
F: 0.597 0.943 0.854  0.01
F: 0.654 0.057 0.354  0.01
F: 0.057 0.403 0.646  0.01
F: 0.403 0.057 0.146  0.01
F: 0.597 0.654 0.646  0.01
F: 0.346 0.403 0.854  0.01

---

Pm2Ho3Tl after structural relaxation. Source: Alexandria, functional GGA-PBE.

Calculated values
Its distance to the lowest polymorph of the same formula is 1.285 eV per formula unit. The total energy is -24.904 eV/cell. The symmetry is Imm2. The formation energy is 116 meV/atom. The value obtained for the magnetization is 0.000 μB per formula unit.

a b c (Å): 3.461 6.438 9.500
angles (deg): 109.81 100.50 90.00
Element x y z (fractional)
Pm: 0.690 0.309 0.381
Pm: 0.310 0.928 0.619
Ho: 0.000 0.919 0.000
Ho: 0.365 0.490 0.730
Ho: 0.635 0.760 0.270
Tl: 0.500 0.337 0.000

---

Dy2FeIr3 after structural relaxation. Source: Alexandria, functional GGA-PBE.

Calculated values
The total energy is -96.670 eV/cell. The symmetry is P6_3/mmc. The formation energy is -681 meV/atom. The value obtained for the magnetization is 2.912 μB per formula unit.

a b c (Å): 5.460 5.460 8.239
angles (deg): 90.00 90.00 120.00
Each line ends with the local moment (μB).
Element x y z (fractional)
Dy: 0.667 0.333 0.437  -0.10
Dy: 0.333 0.667 0.563  -0.10
Dy: 0.333 0.667 0.937  -0.10
Dy: 0.667 0.333 0.063  -0.10
Fe: 0.000 0.000 0.500  2.63
Fe: 0.000 0.000 0.000  2.63
Ir: 0.168 0.336 0.250  0.16
Ir: 0.336 0.168 0.750  0.16
Ir: 0.832 0.664 0.750  0.16
Ir: 0.168 0.832 0.250  0.16
Ir: 0.832 0.168 0.750  0.16
Ir: 0.664 0.832 0.250  0.16

---

PmScInAu after structural relaxation. Source: Alexandria, functional GGA-PBE.

Calculated values
The total energy is -19.309 eV/cell. The symmetry is F-43m. The formation energy is -553 meV/atom. The value obtained for the magnetization is 0.199 μB per formula unit.

a b c (Å): 5.160 5.160 5.160
angles (deg): 60.00 60.00 60.00
Each line ends with the local moment (μB).
Element x y z (fractional)
Sc: 0.750 0.750 0.750  0.09
In: 0.500 0.500 0.500  0.00
Au: 0.000 0.000 0.000  0.01
Pm: 0.250 0.250 0.250  0.03

---

Th3Co7Ge2 after structural relaxation. Source: Alexandria, functional GGA-PBE.

Calculated values
Its distance to the lowest polymorph of the same formula is 0.000 eV per formula unit. The total energy is -83.631 eV/cell. The symmetry is I4/mmm. The formation energy is -200 meV/atom. The value obtained for the magnetization is 0.745 μB per formula unit.

a b c (Å): 3.935 3.935 13.046
angles (deg): 98.67 98.67 90.00
Each line ends with the local moment (μB).
Element x y z (fractional)
Th: 0.325 0.325 0.649  -0.01
Th: 0.675 0.675 0.351  -0.01
Th: 0.500 0.500 0.000  -0.07
Co: 0.000 0.000 0.000  0.41
Co: 0.924 0.424 0.847  0.14
Co: 0.424 0.924 0.847  0.14
Co: 0.076 0.576 0.153  0.14
Co: 0.576 0.076 0.153  0.14
Co: 0.218 0.218 0.437  -0.03
Co: 0.782 0.782 0.563  -0.03
Ge: 0.125 0.125 0.250  -0.01
Ge: 0.875 0.875 0.750  -0.01

---

Pr3Sm6DyHo2 after structural relaxation. Source: Alexandria, functional GGA-PBE.

Calculated values
The total energy is -56.196 eV/cell. The symmetry is C2/m. The formation energy is 18 meV/atom. The value obtained for the magnetization is 0.000 μB per formula unit.

a b c (Å): 6.286 6.286 12.014
angles (deg): 95.01 95.01 120.01
Element x y z (fractional)
Pr: 0.167 0.833 0.500
Pr: 0.833 0.167 0.500
Pr: 0.500 0.500 0.500
Sm: 0.918 0.584 0.755
Sm: 0.749 0.749 0.245
Sm: 0.082 0.416 0.245
Sm: 0.584 0.918 0.755
Sm: 0.251 0.251 0.755
Sm: 0.416 0.082 0.245
Dy: 0.000 0.000 0.000
Ho: 0.333 0.667 0.000
Ho: 0.667 0.333 0.000

---

Pr4TeSe2 after structural relaxation. Source: Alexandria, functional GGA-PBE.

Calculated values
Its distance to the lowest polymorph of the same formula is 0.000 eV per formula unit. The total energy is -78.268 eV/cell. The symmetry is Cmcm. The value obtained for the magnetization is 0.000 μB per formula unit.

a b c (Å): 4.204 7.331 14.525
angles (deg): 90.00 90.00 106.66
Element x y z (fractional)
Pr: 0.776 0.553 0.120
Pr: 0.776 0.553 0.380
Pr: 0.224 0.447 0.880
Pr: 0.224 0.447 0.620
Pr: 0.931 0.862 0.750
Pr: 0.069 0.138 0.250
Pr: 0.500 0.000 0.000
Pr: 0.500 0.000 0.500
Te: 0.602 0.204 0.750
Te: 0.398 0.796 0.250
Se: 0.138 0.276 0.439
Se: 0.862 0.724 0.939
Se: 0.138 0.276 0.061
Se: 0.862 0.724 0.561

---

SrPN2F after structural relaxation. Source: Alexandria, functional GGA-PBE.

Calculated values
Its distance to the lowest polymorph of the same formula is 8.756 eV per formula unit. The total energy is -20.785 eV/cell. The symmetry is P4/mmm. The value obtained for the magnetization is 2.000 μB per formula unit.

a b c (Å): 5.131 5.131 4.533
angles (deg): 90.00 90.00 90.00
Each line ends with the local moment (μB).
Element x y z (fractional)
Sr: 0.000 0.000 0.000  0.04
N: 0.000 0.500 0.000  1.43
N: 0.500 0.000 0.000  1.43
F: 0.000 0.000 0.500  -0.01
P: 0.500 0.500 0.500  -1.03

---

CaTmInBr6 after structural relaxation. Source: Alexandria, functional GGA-PBE.

Calculated values
The total energy is -68.505 eV/cell. The symmetry is P-31c. The value obtained for the magnetization is 0.000 μB per formula unit.

a b c (Å): 7.399 7.399 14.334
angles (deg): 90.00 90.00 120.00
Element x y z (fractional)
Ca: 0.333 0.667 0.250
Ca: 0.667 0.333 0.750
Tm: 0.667 0.333 0.250
Tm: 0.333 0.667 0.750
In: 0.000 0.000 0.000
In: 0.000 0.000 0.500
Br: 0.639 0.625 0.138
Br: 0.986 0.361 0.138
Br: 0.361 0.986 0.638
Br: 0.014 0.639 0.862
Br: 0.375 0.361 0.362
Br: 0.986 0.625 0.362
Br: 0.625 0.986 0.862
Br: 0.639 0.014 0.362
Br: 0.014 0.375 0.638
Br: 0.375 0.014 0.138
Br: 0.625 0.639 0.638
Br: 0.361 0.375 0.862

---

Sc4CSe2 after structural relaxation. Source: Alexandria, functional GGA-PBE.

Calculated values
Its distance to the lowest polymorph of the same formula is 0.000 eV per formula unit. The total energy is -49.108 eV/cell. The symmetry is Cmmm. The value obtained for the magnetization is 0.003 μB per formula unit.

a b c (Å): 3.635 6.536 6.536
angles (deg): 107.95 90.00 90.00
Element x y z (fractional)
Sc: 0.000 0.787 0.213
Sc: 0.500 0.805 0.805
Sc: 0.500 0.195 0.195
Sc: 0.000 0.213 0.787
C: 0.000 0.000 0.000
Se: 0.500 0.000 0.500
Se: 0.500 0.500 0.000

---

RbCuIr3 after structural relaxation. Source: Alexandria, functional GGA-PBE.

Calculated values
Its distance to the lowest polymorph of the same formula is 0.000 eV per formula unit. The total energy is -23.470 eV/cell. The symmetry is Pm-3m. The formation energy is 1635 meV/atom. The value obtained for the magnetization is 0.000 μB per formula unit.

a b c (Å): 4.687 4.687 4.687
angles (deg): 90.00 90.00 90.00
Element x y z (fractional)
Ir: 0.000 0.500 0.000
Ir: 0.000 0.000 0.500
Ir: 0.500 0.000 0.000
Cu: 0.000 0.000 0.000
Rb: 0.500 0.500 0.500